A plane-wave DFT calculation with PBE+U was carried out for a geometry-optimized MnAlCoO structure.

a = 4.931 Å, b = 4.931 Å, c = 4.931 Å
α = 146.67°, β = 125.39°, γ = 65.50°
Positions (direct):
Mn  0.000  0.000  0.000
Al  0.361  0.361  0.000
Co  0.661  0.661  0.000
O  0.217  0.717  0.500

Properties
For the volume, the calculation gives 13.26 A^3/atom. The value obtained for the total energy is -5.818 eV/atom.